Entry 1:
## HfNi2HPt (PBE)

Data for a relaxed HfNi2HPt crystal.

Cell: 3.944 3.944 3.849 Å, 90.00 90.00 90.00°
Fractional positions:
1 Hf 0.000 0.000 0.000
2 Ni 0.000 0.500 0.500
3 Ni 0.500 0.000 0.500
4 H 0.500 0.500 0.500
5 Pt 0.500 0.500 0.000

Values from the calculation:
energy above the lowest structure with this stoichiometry: 40 kJ/mol of formula units
crystal system: tetragonal
space group: P4/mmm, No. 123
spin magnetization: 0.00 μB/f.u.
Fermi-level density of states: 3.69 states/eV/f.u.

---

Entry 2:
## CaDy5As6 (PBE)

Data for a relaxed CaDy5As6 crystal.

Cell: 7.164 7.164 7.179 Å, 99.56 99.56 120.06°
Fractional positions:
1 Ca 0.000 0.000 0.000
2 Dy 0.165 0.835 0.500
3 Dy 0.333 0.667 0.000
4 Dy 0.500 0.500 0.500
5 Dy 0.667 0.333 0.000
6 Dy 0.835 0.165 0.500
7 As 0.085 0.423 0.253
8 As 0.255 0.255 0.747
9 As 0.423 0.085 0.253
10 As 0.577 0.915 0.747
11 As 0.745 0.745 0.253
12 As 0.915 0.577 0.747

Values from the calculation:
E_form: -1660.2 kJ/mol of formula units
crystal system: monoclinic
space group: C2/m, No. 12
spin magnetization: 0.00 μB/f.u.
Fermi-level density of states: 3.55 states/eV/f.u.

---

Entry 3:
## La2BeBiN (PBE)

Data for a relaxed La2BeBiN crystal.

Cell: 5.705 5.705 3.359 Å, 90.00 90.00 90.00°
Fractional positions:
1 La 0.000 0.500 0.000
2 La 0.500 0.000 0.000
3 Be 0.000 0.000 0.500
4 Bi 0.500 0.500 0.500
5 N 0.000 0.000 0.000

Values from the calculation:
crystal system: tetragonal
space group: P4/mmm, No. 123
spin magnetization: 0.00 μB/f.u.
Fermi-level density of states: 3.81 states/eV/f.u.
energy relative to the elements, uncorrected: -0.70 eV/atom

---

Entry 4:
## PmSn2Ru (PBE)

Data for a relaxed PmSn2Ru crystal.

Cell: 3.351 3.351 7.757 Å, 90.00 90.00 90.00°
Fractional positions:
1 Pm 0.000 0.000 0.000
2 Sn 0.500 0.500 0.297
3 Sn 0.500 0.500 0.703
4 Ru 0.000 0.000 0.500

Values from the calculation:
E_form: -125.8 kJ/mol of formula units
energy above the lowest structure with this stoichiometry: 77 kJ/mol of formula units
crystal system: tetragonal
space group: P4/mmm, No. 123
spin magnetization: 0.00 μB/f.u.
Fermi-level density of states: 4.66 states/eV/f.u.